# 1
# PBE-GGA AlSb2Au, relaxed
data_AlSb2Au
_chemical_formula_sum 'Al4 Sb8 Au4'
_symmetry_space_group_name_H-M 'F -4 3 m'
_symmetry_Int_Tables_number 216
_symmetry_space_group_name_Hall 'F -4 2 3'
_cell_length_a 7.1480
_cell_length_b 7.1480
_cell_length_c 7.1480
_cell_angle_alpha 90.00
_cell_angle_beta 90.00
_cell_angle_gamma 90.00
loop_
_atom_site_label
_atom_site_type_symbol
_atom_site_fract_x
_atom_site_fract_y
_atom_site_fract_z
Al1 Al 0.0000 0.0000 0.0000
Sb1 Sb 0.0000 0.0000 0.5000
Sb2 Sb 0.2500 0.2500 0.2500
Au1 Au 0.2500 0.2500 0.7500
# Crystal system: cubic
# Size of the total moment in μB/cell: 0.0
# Raw formation energy in eV/atom: 0.2556

***

# 2
# PBE-GGA Al2SbAu, relaxed
data_Al2SbAu
_chemical_formula_sum 'Al4 Sb2 Au2'
_symmetry_space_group_name_H-M 'I m m m'
_symmetry_Int_Tables_number 71
_symmetry_space_group_name_Hall '-I 2 2'
_cell_length_a 2.9667
_cell_length_b 5.3362
_cell_length_c 10.2883
_cell_angle_alpha 90.00
_cell_angle_beta 90.00
_cell_angle_gamma 90.00
loop_
_atom_site_label
_atom_site_type_symbol
_atom_site_fract_x
_atom_site_fract_y
_atom_site_fract_z
Al1 Al 0.0000 0.0000 0.2300
Sb1 Sb 0.0000 0.5000 0.0000
Au1 Au 0.0000 0.5000 0.5000
# Crystal system: orthorhombic
# Size of the total moment in μB/cell: 0.0
# Raw formation energy in eV/atom: 0.1194

***

# 3
# PBE-GGA AlSb2Au, relaxed
data_AlSb2Au
_chemical_formula_sum 'Al4 Sb8 Au4'
_symmetry_space_group_name_H-M 'I -4 2 d'
_symmetry_Int_Tables_number 122
_symmetry_space_group_name_Hall 'I -4 2bw'
_cell_length_a 6.2682
_cell_length_b 6.2682
_cell_length_c 12.3230
_cell_angle_alpha 90.00
_cell_angle_beta 90.00
_cell_angle_gamma 90.00
loop_
_atom_site_label
_atom_site_type_symbol
_atom_site_fract_x
_atom_site_fract_y
_atom_site_fract_z
Al1 Al 0.0000 0.0000 0.0000
Sb1 Sb 0.2491 0.2500 0.6250
Au1 Au 0.0000 0.0000 0.5000
# Crystal system: tetragonal
# Size of the total moment in μB/cell: 0.0
# Raw formation energy in eV/atom: 0.0392

***

# 4
# PBE-GGA AlSb2Au, relaxed
data_AlSb2Au
_chemical_formula_sum 'Al3 Sb6 Au3'
_symmetry_space_group_name_H-M 'R 3 m'
_symmetry_Int_Tables_number 160
_symmetry_space_group_name_Hall 'R 3 -2"'
_cell_length_a 3.3657
_cell_length_b 3.3657
_cell_length_c 28.8809
_cell_angle_alpha 90.00
_cell_angle_beta 90.00
_cell_angle_gamma 120.00
loop_
_atom_site_label
_atom_site_type_symbol
_atom_site_fract_x
_atom_site_fract_y
_atom_site_fract_z
Al1 Al 0.0000 0.0000 0.0000
Sb1 Sb 0.0000 0.0000 0.2557
Sb2 Sb 0.0000 0.0000 0.4728
Au1 Au 0.0000 0.0000 0.7268
# Crystal system: trigonal
# Size of the total moment in μB/cell: 0.0
# Raw formation energy in eV/atom: 0.0243

***

# 5
# PBE-GGA AlSbAu3, relaxed
data_AlSbAu3
_chemical_formula_sum 'Al1 Sb1 Au3'
_symmetry_space_group_name_H-M 'P m -3 m'
_symmetry_Int_Tables_number 221
_symmetry_space_group_name_Hall '-P 4 2 3'
_cell_length_a 5.2564
_cell_length_b 5.2564
_cell_length_c 5.2564
_cell_angle_alpha 90.00
_cell_angle_beta 90.00
_cell_angle_gamma 90.00
loop_
_atom_site_label
_atom_site_type_symbol
_atom_site_fract_x
_atom_site_fract_y
_atom_site_fract_z
Al1 Al 0.0000 0.0000 0.0000
Sb1 Sb 0.5000 0.5000 0.5000
Au1 Au 0.0000 0.5000 0.5000
# Crystal system: cubic
# Size of the total moment in μB/cell: 0.0
# Raw formation energy in eV/atom: 0.4828
# Excess energy over the best structure of this formula in the dataset in meV/atom: 662

***

# 6
# PBE-GGA AlSb2Au, relaxed
data_AlSb2Au
_chemical_formula_sum 'Al2 Sb4 Au2'
_symmetry_space_group_name_H-M 'C m m m'
_symmetry_Int_Tables_number 65
_symmetry_space_group_name_Hall '-C 2 2'
_cell_length_a 7.5047
_cell_length_b 7.5442
_cell_length_c 3.1848
_cell_angle_alpha 90.00
_cell_angle_beta 90.00
_cell_angle_gamma 90.00
loop_
_atom_site_label
_atom_site_type_symbol
_atom_site_fract_x
_atom_site_fract_y
_atom_site_fract_z
Al1 Al 0.0000 0.0000 0.0000
Sb1 Sb 0.2500 0.2500 0.5000
Au1 Au 0.0000 0.5000 0.0000
# Crystal system: orthorhombic
# Size of the total moment in μB/cell: 0.0
# Raw formation energy in eV/atom: 0.1509

***

# 7
# PBE-GGA AlSbAu2, relaxed
data_AlSbAu2
_chemical_formula_sum 'Al2 Sb2 Au4'
_symmetry_space_group_name_H-M 'C 1 2/m 1'
_symmetry_Int_Tables_number 12
_symmetry_space_group_name_Hall '-C 2y'
_cell_length_a 5.7667
_cell_length_b 8.7402
_cell_length_c 4.4312
_cell_angle_alpha 90.00
_cell_angle_beta 129.29
_cell_angle_gamma 90.00
loop_
_atom_site_label
_atom_site_type_symbol
_atom_site_fract_x
_atom_site_fract_y
_atom_site_fract_z
Al1 Al 0.0000 0.0000 0.0000
Sb1 Sb 0.0000 0.5000 0.0000
Au1 Au 0.2500 0.2500 0.5000
# Crystal system: monoclinic
# Size of the total moment in μB/cell: 0.0
# Raw formation energy in eV/atom: -0.0213
# Excess energy over the best structure of this formula in the dataset in meV/atom: 146

***

# 8
# PBE-GGA AlSb2Au, relaxed
data_AlSb2Au
_chemical_formula_sum 'Al2 Sb4 Au2'
_symmetry_space_group_name_H-M 'C m m 2'
_symmetry_Int_Tables_number 35
_symmetry_space_group_name_Hall 'C 2 -2'
_cell_length_a 4.0738
_cell_length_b 4.9087
_cell_length_c 9.1337
_cell_angle_alpha 90.00
_cell_angle_beta 90.00
_cell_angle_gamma 90.00
loop_
_atom_site_label
_atom_site_type_symbol
_atom_site_fract_x
_atom_site_fract_y
_atom_site_fract_z
Al1 Al 0.0000 0.0000 0.0000
Sb1 Sb 0.0000 0.0000 0.4276
Sb2 Sb 0.0000 0.5000 0.7518
Au1 Au 0.0000 0.5000 0.1721
# Crystal system: orthorhombic
# Size of the total moment in μB/cell: 0.0
# Raw formation energy in eV/atom: 0.0739

***

# 9
# PBE-GGA Al2SbAu, relaxed
data_Al2SbAu
_chemical_formula_sum 'Al4 Sb2 Au2'
_symmetry_space_group_name_H-M 'C 1 m 1'
_symmetry_Int_Tables_number 8
_symmetry_space_group_name_Hall 'C -2y'
_cell_length_a 8.5345
_cell_length_b 3.9659
_cell_length_c 5.5011
_cell_angle_alpha 90.00
_cell_angle_beta 112.41
_cell_angle_gamma 90.00
loop_
_atom_site_label
_atom_site_type_symbol
_atom_site_fract_x
_atom_site_fract_y
_atom_site_fract_z
Al1 Al 0.0000 0.0000 0.0000
Al2 Al 0.1904 0.0000 0.6055
Sb1 Sb 0.4071 0.0000 0.3366
Au1 Au 0.1759 0.5000 0.8987
# Crystal system: monoclinic
# Size of the total moment in μB/cell: 0.0
# Raw formation energy in eV/atom: -0.0481

***

# 10
# PBE-GGA AlSbAu3, relaxed
data_AlSbAu3
_chemical_formula_sum 'Al2 Sb2 Au6'
_symmetry_space_group_name_H-M 'P m m n'
_symmetry_Int_Tables_number 59
_cell_length_a 3.4126
_cell_length_b 5.6871
_cell_length_c 10.3645
_cell_angle_alpha 90.00
_cell_angle_beta 90.00
_cell_angle_gamma 90.00
loop_
_symmetry_equiv_pos_as_xyz
'x,y,z'
'-x,-y,-z'
'-x+1/2,-y+1/2,z'
'x+1/2,y+1/2,-z'
'x+1/2,-y,-z'
'-x+1/2,y,z'
'-x,y+1/2,-z'
'x,-y+1/2,z'
loop_
_atom_site_label
_atom_site_type_symbol
_atom_site_fract_x
_atom_site_fract_y
_atom_site_fract_z
Al1 Al 0.2500 0.2500 0.0376
Sb1 Sb 0.2500 0.2500 0.4062
Au1 Au 0.2500 0.0014 0.8267
Au2 Au 0.2500 0.7500 0.3668
# Crystal system: orthorhombic
# Size of the total moment in μB/cell: 0.0
# Raw formation energy in eV/atom: -0.1788
# Excess energy over the best structure of this formula in the dataset in meV/atom: 0

***

# 11
# PBE-GGA AlSb3Au, relaxed
data_AlSb3Au
_chemical_formula_sum 'Al1 Sb3 Au1'
_symmetry_space_group_name_H-M 'P m -3 m'
_symmetry_Int_Tables_number 221
_symmetry_space_group_name_Hall '-P 4 2 3'
_cell_length_a 5.2138
_cell_length_b 5.2138
_cell_length_c 5.2138
_cell_angle_alpha 90.00
_cell_angle_beta 90.00
_cell_angle_gamma 90.00
loop_
_atom_site_label
_atom_site_type_symbol
_atom_site_fract_x
_atom_site_fract_y
_atom_site_fract_z
Al1 Al 0.0000 0.0000 0.0000
Sb1 Sb 0.0000 0.0000 0.5000
Au1 Au 0.5000 0.5000 0.5000
# Crystal system: cubic
# Size of the total moment in μB/cell: 0.0
# Raw formation energy in eV/atom: 0.6791
# Excess energy over the best structure of this formula in the dataset in meV/atom: 0

***

# 12
# PBE-GGA AlSbAu2, relaxed
data_AlSbAu2
_chemical_formula_sum 'Al2 Sb2 Au4'
_symmetry_space_group_name_H-M 'C 1 2/m 1'
_symmetry_Int_Tables_number 12
_symmetry_space_group_name_Hall '-C 2y'
_cell_length_a 8.1290
_cell_length_b 3.4116
_cell_length_c 6.0677
_cell_angle_alpha 90.00
_cell_angle_beta 103.61
_cell_angle_gamma 90.00
loop_
_atom_site_label
_atom_site_type_symbol
_atom_site_fract_x
_atom_site_fract_y
_atom_site_fract_z
Al1 Al 0.0000 0.0000 0.0000
Sb1 Sb 0.0000 0.5000 0.5000
Au1 Au 0.2365 0.5000 0.2043
# Crystal system: monoclinic
# Size of the total moment in μB/cell: 0.0
# Raw formation energy in eV/atom: -0.1669
# Excess energy over the best structure of this formula in the dataset in meV/atom: 0